This record from the Alexandria database describes a relaxed structure of Ca2AlN. The functional is GGA-PBE.

POSCAR file:
```
Ca2AlN
1.0
4.783 -0.393 1.148
1.510 -3.522 3.109
2.636 -3.815 -1.686
Al Ca N
1 2 1
Cartesian
4.465 -3.865 1.285
2.232 -1.932 0.643
6.697 -5.797 1.928
0.000 0.000 0.000
```

mass density	2.368	Mg/m³
energy	-14.29	eV/cell
space group	Fm-3m
DOS(E_F)	4.0	states/eV per cell
uncorrected formation energy	43.1	kJ per mole of atoms
magnetization	0.0	μB per cell


This record from the Alexandria database describes a relaxed structure of Ca2AlN. The functional is GGA-PBE.

POSCAR file:
```
Ca2AlN
1.0
3.497 0.000 0.000
1.748 3.028 0.000
1.748 1.009 8.943
Ca Al N
2 1 1
Cartesian
5.245 3.028 3.200
1.748 1.009 5.743
0.000 0.000 0.000
3.497 2.019 4.472
```

mass density	2.124	Mg/m³
energy	-17.54	eV/cell
space group	R-3m
DOS(E_F)	1.2	states/eV per cell
uncorrected formation energy	-35.5	kJ per mole of atoms
magnetization	0.0	μB per cell


Question: Number 2 is which compound?
Answer: Ca2AlN


Question: energy of number 2 (Ca2AlN)?
Answer: -17.54 eV/cell